Computed, not measured: a geometry-optimized Tl2CdTc structure at the PBE-GGA level of DFT.

Computed properties:
DFT total energy (eV/atom): -3.52
Magnetic moment (μB per formula unit): 1.85
Fermi-level density of states (states/eV per cell): 2.5
Calculated formation energy (eV/f.u.): 1.95
Excess energy over the best structure of this formula in the dataset (eV per atom): 0.0373
Crystal system: orthorhombic

a = 3.1710 Å, b = 3.1710 Å, c = 9.2788 Å
α = 90.00°, β = 90.00°, γ = 90.15°
Sites, in units of the cell vectors:
Tl1 0.5000 0.5000 0.2584
Tl2 0.0000 0.0000 0.9534
Cd1 0.0000 0.0000 0.5458
Tc1 0.5000 0.5000 0.7424



Computed, not measured: a geometry-optimized Nd5CdSe4 structure at the PBE-GGA level of DFT.

Computed properties:
DFT total energy (eV/atom): -5.39
Magnetic moment (μB per formula unit): 0.00
Fermi-level density of states (states/eV per cell): 4.1
Formation energy (no corrections) (eV/atom): -1.519
Crystal system: tetragonal

a = 6.0520 Å, b = 7.4105 Å, c = 7.4105 Å
α = 80.40°, β = 65.90°, γ = 65.90°
Sites, in units of the cell vectors:
Nd1 0.8984 0.4108 0.7943
Nd2 0.5010 0.0000 0.0000
Nd3 0.3092 0.7943 0.5892
Nd4 0.1036 0.5892 0.2057
Nd5 0.6928 0.2057 0.4108
Cd1 0.0011 0.0000 0.0000
Se1 0.2005 0.1986 0.4024
Se2 0.3992 0.4024 0.8014
Se3 0.6029 0.5976 0.1986
Se4 0.8015 0.8014 0.5976